[1]
VASP calculation (GGA-PBE) on a relaxed structure of TaNbH3.

Calculated values
The raw total energy is -0.228 hartree per atom. The value obtained for the energy above the most stable polymorph in this dataset is 377 meV/atom.

Geometry as POSCAR:
```
TaNbH3
1.0
3.576 0.000 0.000
0.000 3.576 0.000
0.000 0.000 3.576
H Nb Ta
3 1 1
direct
0.500 0.000 0.000 H
0.000 0.500 0.000 H
0.000 0.000 0.500 H
0.500 0.500 0.500 Nb
0.000 0.000 0.000 Ta
```

=====

[2]
VASP calculation (GGA-PBE) on a relaxed structure of LaNdCdTc.

Calculated values
The raw total energy is -0.192 hartree per atom. The energy relative to the elements comes out at 0.03 eV/atom.

Geometry as POSCAR:
```
LaNdCdTc
1.0
-4.825 -1.948 0.652
-0.938 -5.065 -0.983
-0.983 -3.301 3.955
La Cd Tc Nd
1 1 1 1
direct
0.000 0.000 0.000 La
0.250 0.250 0.250 Cd
0.750 0.750 0.750 Tc
0.500 0.500 0.500 Nd
```

=====

[3]
VASP calculation (GGA-PBE) on a relaxed structure of Cd2In4Hg.

Calculated values
The raw total energy is -0.067 hartree per atom. The value obtained for the energy above the most stable polymorph in this dataset is 0 meV/atom. The energy relative to the elements comes out at 0.05 eV/atom.

Geometry as POSCAR:
```
Cd2In4Hg
1.0
8.021 0.000 0.000
0.000 8.021 0.000
-4.010 -4.010 2.906
In Cd Hg
4 2 1
direct
0.199 0.800 0.999 In
0.801 0.801 0.001 In
0.200 0.200 0.001 In
0.800 0.199 0.999 In
0.750 0.250 0.500 Cd
0.250 0.750 0.500 Cd
0.500 0.500 0.000 Hg
```

=====

[4]
VASP calculation (GGA-PBE) on a relaxed structure of Gd2SeO.

Calculated values
The raw total energy is -0.418 hartree per atom. The calculation puts the uncorrected formation energy at -2.223 eV per atom.

Geometry as POSCAR:
```
Gd2SeO
1.0
-2.692 2.496 -0.737
-2.125 1.336 2.778
2.610 6.092 1.589
Gd O Se
2 1 1
direct
0.733 0.733 0.801 Gd
0.267 0.267 0.199 Gd
0.000 0.000 0.000 O
0.500 0.500 0.500 Se
```

=====

[5]
VASP calculation (GGA-PBE) on a relaxed structure of CaCeIn.

Calculated values
The raw total energy is -0.137 hartree per atom. The value obtained for the energy above the most stable polymorph in this dataset is 126 meV/atom. The energy relative to the elements comes out at -0.17 eV/atom.

Geometry as POSCAR:
```
CaCeIn
1.0
-0.542 -3.185 1.361
3.463 -0.522 0.156
-1.328 4.822 6.239
Ce In Ca
1 1 1
direct
0.315 0.315 0.630 Ce
0.667 0.667 0.334 In
0.018 0.018 0.036 Ca
```

=====

[6]
VASP calculation (GGA-PBE) on a relaxed structure of AcNbIr.

Calculated values
The raw total energy is -0.282 hartree per atom. The energy relative to the elements comes out at 0.00 eV/atom.

Geometry as POSCAR:
```
AcNbIr
1.0
-2.377 3.912 -2.343
0.000 -1.360 3.371
8.314 6.662 2.688
Ac Ir Nb
2 2 2
direct
0.194 0.388 0.836 Ac
0.194 0.388 0.164 Ac
0.694 0.387 0.000 Ir
0.195 0.390 0.500 Ir
0.695 0.390 0.394 Nb
0.695 0.390 0.606 Nb
```

=====

[7]
VASP calculation (GGA-PBE) on a relaxed structure of MnIrBr2.

Calculated values
The raw total energy is -0.160 hartree per atom. The value obtained for the energy above the most stable polymorph in this dataset is 922 meV/atom. The calculation puts the uncorrected formation energy at 0.988 eV per atom.

Geometry as POSCAR:
```
MnIrBr2
1.0
-2.796 -3.613 -1.368
1.942 -4.159 -1.294
-0.485 -3.831 2.798
Mn Ir Br
1 1 2
direct
0.750 0.750 0.750 Mn
0.500 0.500 0.500 Ir
0.000 0.000 0.000 Br
0.250 0.250 0.250 Br
```

=====

[8]
VASP calculation (GGA-PBE) on a relaxed structure of Cs12I3O4.

Calculated values
The raw total energy is -0.107 hartree per atom. The calculation puts the uncorrected formation energy at -1.072 eV per atom.

Geometry as POSCAR:
```
Cs12I3O4
1.0
-8.052 -6.015 -2.552
6.967 -5.598 5.259
-3.292 7.858 5.911
Cs I O
12 3 4
direct
0.250 0.254 0.504 Cs
0.004 0.750 0.254 Cs
0.996 0.250 0.746 Cs
0.254 0.004 0.750 Cs
0.504 0.250 0.254 Cs
0.254 0.504 0.250 Cs
0.250 0.746 0.996 Cs
0.746 0.496 0.750 Cs
0.746 0.996 0.250 Cs
0.750 0.254 0.004 Cs
0.496 0.750 0.746 Cs
0.750 0.746 0.496 Cs
0.500 0.000 0.500 I
0.500 0.500 0.000 I
0.000 0.500 0.500 I
0.500 0.500 0.500 O
0.000 0.500 0.000 O
0.500 0.000 0.000 O
0.000 0.000 0.500 O
```

=====

[9]
VASP calculation (GGA-PBE) on a relaxed structure of AlCd2P.

Calculated values
The raw total energy is -0.090 hartree per atom. The value obtained for the energy above the most stable polymorph in this dataset is 336 meV/atom. The energy relative to the elements comes out at 0.29 eV/atom.

Geometry as POSCAR:
```
AlCd2P
1.0
-2.498 -4.393 1.826
3.427 -3.777 1.689
-0.523 5.257 0.982
Al P Cd
1 1 2
direct
0.750 0.250 0.500 Al
0.500 0.500 0.000 P
0.250 0.750 0.500 Cd
0.000 0.000 0.000 Cd
```

=====

[10]
VASP calculation (GGA-PBE) on a relaxed structure of SmEr2CdRh4.

Calculated values
The raw total energy is -0.230 hartree per atom. The energy relative to the elements comes out at -0.73 eV/atom.

Geometry as POSCAR:
```
SmEr2CdRh4
1.0
4.772 0.000 0.000
2.386 4.133 0.000
2.386 1.378 7.783
Rh Er Sm Cd
4 2 1 1
direct
0.624 0.624 0.129 Rh
0.376 0.376 0.871 Rh
0.877 0.877 0.369 Rh
0.123 0.123 0.631 Rh
0.243 0.243 0.272 Er
0.757 0.757 0.728 Er
0.000 0.000 0.000 Sm
0.500 0.500 0.500 Cd
```

=====

[11]
VASP calculation (GGA-PBE) on a relaxed structure of Tb2Nd2Ni15.

Calculated values
The raw total energy is -0.211 hartree per atom. The energy relative to the elements comes out at -0.20 eV/atom.

Geometry as POSCAR:
```
Tb2Nd2Ni15
1.0
-3.086 -4.449 3.638
4.187 -0.061 5.002
-3.227 4.150 3.861
Ni Tb Nd
15 2 2
direct
0.653 0.166 0.653 Ni
0.000 0.500 0.000 Ni
0.653 0.653 0.166 Ni
0.834 0.347 0.347 Ni
0.692 0.000 0.308 Ni
0.000 0.308 0.692 Ni
0.308 0.692 0.000 Ni
0.692 0.308 0.000 Ni
0.000 0.000 0.500 Ni
0.308 0.000 0.692 Ni
0.166 0.653 0.653 Ni
0.347 0.834 0.347 Ni
0.347 0.347 0.834 Ni
0.000 0.692 0.308 Ni
0.500 0.000 0.000 Ni
0.111 0.111 0.111 Tb
0.889 0.889 0.889 Tb
0.641 0.641 0.641 Nd
0.359 0.359 0.359 Nd
```

=====

[12]
VASP calculation (GGA-PBE) on a relaxed structure of Ba2YTcHg.

Calculated values
The raw total energy is -0.104 hartree per atom. The energy relative to the elements comes out at 1.36 eV/atom.

Geometry as POSCAR:
```
Ba2YTcHg
1.0
-2.319 4.529 -4.068
-4.805 -0.058 2.675
2.160 4.682 3.982
Tc Y Hg Ba
1 1 1 2
direct
0.500 0.500 0.500 Tc
0.000 0.000 0.000 Y
0.000 0.500 0.000 Hg
0.000 0.000 0.500 Ba
0.500 0.000 0.000 Ba
```